Entry from Alexandria via LeMat-Bulk: a relaxed structure of Pr3Pb (PBE).

Summary:
DFT total energy	-4.821	eV per atom
N(E_F)	4.511	states/eV per cell
space group	I4/mmm (139)
calculated volume	32.2	Å³/atom

Cell: 6.2996 6.2996 6.2996 Å, 133.64 133.64 67.64°
Atoms (fractional coordinates):
1 Pr 0.0000 0.0000 0.0000
2 Pr 0.2500 0.7500 0.5000
3 Pr 0.7500 0.2500 0.5000
4 Pb 0.5000 0.5000 0.0000

Entry from Alexandria via LeMat-Bulk: a relaxed structure of PrPb4 (PBE).

Summary:
DFT total energy	-4.169	eV per atom
N(E_F)	5.065	states/eV per cell
space group	Imma (74)
calculated volume	31.1	Å³/atom

Cell: 10.2243 10.2243 10.2243 Å, 152.15 141.25 48.38°
Atoms (fractional coordinates):
1 Pr 0.3419 0.0919 0.2500
2 Pr 0.6581 0.9081 0.7500
3 Pb 0.0000 0.5000 0.5000
4 Pb 0.1482 0.8982 0.2500
5 Pb 0.1902 0.6925 0.4977
6 Pb 0.3052 0.3075 0.9977
7 Pb 0.5000 0.5000 0.0000
8 Pb 0.6948 0.6925 0.0023
9 Pb 0.8098 0.3075 0.5023
10 Pb 0.8518 0.1018 0.7500

Entry from Alexandria via LeMat-Bulk: a relaxed structure of Pr5Pb (PBE).

Summary:
DFT total energy	-4.794	eV per atom
N(E_F)	7.009	states/eV per cell
space group	Cmmm (65)
calculated volume	33.7	Å³/atom

Cell: 8.3482 8.3482 5.0533 Å, 90.00 90.00 144.95°
Atoms (fractional coordinates):
1 Pr 0.0000 0.0000 0.0000
2 Pr 0.1620 0.8380 0.5000
3 Pr 0.3375 0.6625 0.0000
4 Pr 0.6625 0.3375 0.0000
5 Pr 0.8380 0.1620 0.5000
6 Pb 0.5000 0.5000 0.5000

Entry from Alexandria via LeMat-Bulk: a relaxed structure of Pr5Pb4 (PBE).

Summary:
DFT total energy	-4.887	eV per atom
N(E_F)	28.621	states/eV per cell
space group	Pnma (62)
calculated volume	33.2	Å³/atom

Cell: 8.5163 16.2598 8.6415 Å, 90.00 90.00 90.00°
Atoms (fractional coordinates):
1 Pr 0.0292 0.1012 0.1779
2 Pr 0.0292 0.3988 0.1779
3 Pr 0.1226 0.6187 0.3407
4 Pr 0.1226 0.8813 0.3407
5 Pr 0.2089 0.2500 0.5025
6 Pr 0.2911 0.7500 0.0025
7 Pr 0.3774 0.1187 0.8407
8 Pr 0.3774 0.3813 0.8407
9 Pr 0.4708 0.6012 0.6779
10 Pr 0.4708 0.8988 0.6779
11 Pr 0.5292 0.1012 0.3221
12 Pr 0.5292 0.3988 0.3221
13 Pr 0.6226 0.6187 0.1593
14 Pr 0.6226 0.8813 0.1593
15 Pr 0.7089 0.2500 0.9975
16 Pr 0.7911 0.7500 0.4975
17 Pr 0.8774 0.1187 0.6593
18 Pr 0.8774 0.3813 0.6593
19 Pr 0.9708 0.6012 0.8221
20 Pr 0.9708 0.8988 0.8221
21 Pb 0.0746 0.2500 0.8783
22 Pb 0.1624 0.7500 0.6456
23 Pb 0.2191 0.0430 0.5335
24 Pb 0.2191 0.4570 0.5335
25 Pb 0.2809 0.5430 0.0335
26 Pb 0.2809 0.9570 0.0335
27 Pb 0.3376 0.2500 0.1456
28 Pb 0.4254 0.7500 0.3783
29 Pb 0.5746 0.2500 0.6217
30 Pb 0.6624 0.7500 0.8544
31 Pb 0.7191 0.0430 0.9665
32 Pb 0.7191 0.4570 0.9665
33 Pb 0.7809 0.5430 0.4665
34 Pb 0.7809 0.9570 0.4665
35 Pb 0.8376 0.2500 0.3544
36 Pb 0.9254 0.7500 0.1217

Entry from Alexandria via LeMat-Bulk: a relaxed structure of Pr5Pb4 (PBE).

Summary:
DFT total energy	-4.620	eV per atom
N(E_F)	6.114	states/eV per cell
space group	I4/m (87)
calculated volume	39.9	Å³/atom

Cell: 9.8205 9.8205 9.8205 Å, 92.23 92.23 157.26°
Atoms (fractional coordinates):
1 Pr 0.0000 0.0000 0.0000
2 Pr 0.2572 0.6037 0.8609
3 Pr 0.3963 0.2572 0.6536
4 Pr 0.6037 0.7428 0.3464
5 Pr 0.7428 0.3963 0.1391
6 Pb 0.0895 0.7716 0.8611
7 Pb 0.2284 0.0895 0.3179
8 Pb 0.7716 0.9105 0.6821
9 Pb 0.9105 0.2284 0.1389

Entry from Alexandria via LeMat-Bulk: a relaxed structure of Pr5Pb2 (PBE).

Summary:
DFT total energy	-4.826	eV per atom
N(E_F)	18.579	states/eV per cell
space group	Cmcm (63)
calculated volume	34.0	Å³/atom

Cell: 21.0589 21.0589 4.7387 Å, 90.00 90.00 166.92°
Atoms (fractional coordinates):
1 Pr 0.0334 0.9666 0.7500
2 Pr 0.1748 0.8252 0.2500
3 Pr 0.2496 0.7504 0.7500
4 Pr 0.3891 0.6109 0.2500
5 Pr 0.4610 0.5390 0.7500
6 Pr 0.5390 0.4610 0.2500
7 Pr 0.6109 0.3891 0.7500
8 Pr 0.7504 0.2496 0.2500
9 Pr 0.8252 0.1748 0.7500
10 Pr 0.9666 0.0334 0.2500
11 Pb 0.0965 0.9035 0.2500
12 Pb 0.3103 0.6897 0.2500
13 Pb 0.6897 0.3103 0.7500
14 Pb 0.9035 0.0965 0.7500